# PBE SrHfZn2P, relaxed
# space-group type	P4/mmm
# VASP energy	-3.315	eV/atom
data_SrHfZn2P
_chemical_formula_sum 'Sr1 Hf1 Zn2 P1'
_space_group_name_H-M_alt 'P 1'
_space_group_IT_number 1
_cell_length_a 4.770
_cell_length_b 5.472
_cell_length_c 4.770
_cell_angle_alpha 90.00
_cell_angle_beta 90.00
_cell_angle_gamma 90.00
loop_
_space_group_symop_operation_xyz
'x,y,z'
loop_
_atom_site_label
_atom_site_type_symbol
_atom_site_fract_x
_atom_site_fract_y
_atom_site_fract_z
_atom_site_occupancy
Hf1 Hf 0.500 0.500 0.500 1
Zn1 Zn 0.000 0.000 0.500 1
Sr1 Sr 0.000 0.500 0.000 1
Zn2 Zn 0.500 0.000 0.000 1
P1 P 0.000 0.000 0.000 1

=====

# PBE LiTmMgPd, relaxed
# space-group type	F-43m
# VASP energy	-3.743	eV/atom
data_LiTmMgPd
_chemical_formula_sum 'Li1 Tm1 Mg1 Pd1'
_space_group_name_H-M_alt 'P 1'
_space_group_IT_number 1
_cell_length_a 4.788
_cell_length_b 4.788
_cell_length_c 4.788
_cell_angle_alpha 60.00
_cell_angle_beta 60.00
_cell_angle_gamma 60.00
loop_
_space_group_symop_operation_xyz
'x,y,z'
loop_
_atom_site_label
_atom_site_type_symbol
_atom_site_fract_x
_atom_site_fract_y
_atom_site_fract_z
_atom_site_occupancy
Tm1 Tm 0.250 0.250 0.250 1
Mg1 Mg 0.750 0.750 0.750 1
Pd1 Pd 0.500 0.500 0.500 1
Li1 Li 0.000 0.000 0.000 1

=====

# PBE RbOs2S, relaxed
# E_form (uncorrected)	0.849	eV/atom
# space-group type	I-42d
# VASP energy	-6.040	eV/atom
data_RbOs2S
_chemical_formula_sum 'Rb2 Os4 S2'
_space_group_name_H-M_alt 'P 1'
_space_group_IT_number 1
_cell_length_a 4.933
_cell_length_b 4.933
_cell_length_c 8.777
_cell_angle_alpha 73.68
_cell_angle_beta 73.68
_cell_angle_gamma 90.00
loop_
_space_group_symop_operation_xyz
'x,y,z'
loop_
_atom_site_label
_atom_site_type_symbol
_atom_site_fract_x
_atom_site_fract_y
_atom_site_fract_z
_atom_site_occupancy
Os1 Os 0.353 0.125 0.250 1
Rb1 Rb 0.000 0.000 0.000 1
Os2 Os 0.375 0.647 0.750 1
Rb2 Rb 0.750 0.250 0.500 1
S1 S 0.250 0.750 0.500 1
Os3 Os 0.397 0.625 0.250 1
Os4 Os 0.875 0.603 0.750 1
S2 S 0.500 0.500 0.000 1

=====

# PBE Rb4DyPa3S12, relaxed
# E_form (uncorrected)	-1.478	eV/atom
# space-group type	Im-3m
# VASP energy	-5.802	eV/atom
data_Rb4DyPa3S12
_chemical_formula_sum 'Rb4 Dy1 Pa3 S12'
_space_group_name_H-M_alt 'P 1'
_space_group_IT_number 1
_cell_length_a 9.178
_cell_length_b 9.178
_cell_length_c 9.178
_cell_angle_alpha 109.47
_cell_angle_beta 109.47
_cell_angle_gamma 109.47
loop_
_space_group_symop_operation_xyz
'x,y,z'
loop_
_atom_site_label
_atom_site_type_symbol
_atom_site_fract_x
_atom_site_fract_y
_atom_site_fract_z
_atom_site_occupancy
S1 S 0.250 0.750 0.500 1
S2 S 0.256 0.000 0.256 1
S3 S 0.750 0.250 0.500 1
S4 S 0.500 0.250 0.750 1
Dy1 Dy 0.000 0.000 0.000 1
Pa1 Pa 0.000 0.500 0.500 1
S5 S 0.744 0.000 0.744 1
Pa2 Pa 0.500 0.500 0.000 1
Rb1 Rb 0.500 0.500 0.500 1
S6 S 0.256 0.256 0.000 1
Rb2 Rb 0.000 0.500 0.000 1
S7 S 0.000 0.744 0.744 1
S8 S 0.250 0.500 0.750 1
Pa3 Pa 0.500 0.000 0.500 1
S9 S 0.000 0.256 0.256 1
S10 S 0.750 0.500 0.250 1
Rb3 Rb 0.000 0.000 0.500 1
Rb4 Rb 0.500 0.000 0.000 1
S11 S 0.500 0.750 0.250 1
S12 S 0.744 0.744 0.000 1

=====

# PBE PaSbPd3, relaxed
# E_form (uncorrected)	-0.531	eV/atom
# space-group type	C2/m
# VASP energy	-6.371	eV/atom
data_PaSbPd3
_chemical_formula_sum 'Pa2 Sb2 Pd6'
_space_group_name_H-M_alt 'P 1'
_space_group_IT_number 1
_cell_length_a 4.723
_cell_length_b 6.610
_cell_length_c 8.006
_cell_angle_alpha 61.59
_cell_angle_beta 72.85
_cell_angle_gamma 69.07
loop_
_space_group_symop_operation_xyz
'x,y,z'
loop_
_atom_site_label
_atom_site_type_symbol
_atom_site_fract_x
_atom_site_fract_y
_atom_site_fract_z
_atom_site_occupancy
Pd1 Pd 0.130 0.295 0.445 1
Sb1 Sb 0.079 0.710 0.132 1
Sb2 Sb 0.921 0.290 0.868 1
Pa1 Pa 0.600 0.124 0.676 1
Pd2 Pd 0.870 0.705 0.555 1
Pd3 Pd 0.237 0.808 0.717 1
Pd4 Pd 0.678 0.681 0.964 1
Pd5 Pd 0.763 0.192 0.283 1
Pa2 Pa 0.400 0.876 0.324 1
Pd6 Pd 0.322 0.319 0.036 1

=====

# PBE LaTa, relaxed
# space-group type	R-3m
# VASP energy	-7.914	eV/atom
data_LaTa
_chemical_formula_sum 'La2 Ta2'
_space_group_name_H-M_alt 'P 1'
_space_group_IT_number 1
_cell_length_a 10.457
_cell_length_b 3.403
_cell_length_c 3.403
_cell_angle_alpha 60.00
_cell_angle_beta 99.36
_cell_angle_gamma 99.36
loop_
_space_group_symop_operation_xyz
'x,y,z'
loop_
_atom_site_label
_atom_site_type_symbol
_atom_site_fract_x
_atom_site_fract_y
_atom_site_fract_z
_atom_site_occupancy
Ta1 Ta 0.283 0.761 0.761 1
Ta2 Ta 0.467 0.489 0.489 1
La1 La 0.033 0.011 0.011 1
La2 La 0.717 0.239 0.239 1